Entry 1:
! TmNpSn (GGA-PBE, relaxed); values from VASP
&SYSTEM
  ibrav = 0, nat = 6, ntyp = 3
/
ATOMIC_SPECIES
Tm 168.93 Tm.upf
Np 237.00 Np.upf
Sn 118.71 Sn.upf
CELL_PARAMETERS angstrom
3.200 0.000 0.000
-1.600 6.391 -0.966
0.000 -3.752 8.055
ATOMIC_POSITIONS crystal
Tm 0.637 0.274 0.298
Np 0.400 0.800 0.361
Tm 0.363 0.726 0.702
Sn 0.877 0.754 0.022
Sn 0.123 0.246 0.978
Np 0.600 0.200 0.639
! Electronic total energy, eV per atom: -7.090
! Formation energy, eV per formula unit: 0.15
! Total magnetic moment, μB per cell: 6.19
! D(E_F), states/eV/cell: 9.761


Entry 2:
! TmNp2Sn9 (GGA-PBE, relaxed); values from VASP
&SYSTEM
  ibrav = 0, nat = 12, ntyp = 3
/
ATOMIC_SPECIES
Sn 118.71 Sn.upf
Tm 168.93 Tm.upf
Np 237.00 Np.upf
CELL_PARAMETERS angstrom
-0.573 4.525 -0.997
-2.271 0.602 4.034
12.063 2.928 6.355
ATOMIC_POSITIONS crystal
Sn 0.500 0.500 0.000
Sn 0.500 0.000 0.167
Tm 0.000 0.000 0.000
Np 0.000 0.000 0.664
Sn 0.000 0.500 0.167
Sn 0.000 0.500 0.833
Sn 0.500 0.500 0.333
Sn 0.000 0.500 0.500
Sn 0.500 0.000 0.500
Sn 0.500 0.500 0.667
Sn 0.500 0.000 0.833
Np 0.000 0.000 0.336
! Electronic total energy, eV per atom: -5.748
! Formation energy, eV per formula unit: -2.60
! Total magnetic moment, μB per cell: 8.29
! D(E_F), states/eV/cell: 24.823